No. 1
HfMn2CrRh: relaxed, PBE.

Output
- Space-group type: No. 123
- Size of the total moment: 0.001 μB per formula unit
- Crystal system: tetragonal
- E_form: 4.3 eV/f.u.

a = 4.087 Å, b = 4.752 Å, c = 4.087 Å
α = 90.00°, β = 90.00°, γ = 90.00°
Fractional coordinates of all 5 atoms:
Rh 0.500 0.500 0.500
Mn 0.000 0.000 0.500
Mn 0.500 0.000 0.000
Hf 0.000 0.500 0.000
Cr 0.000 0.000 0.000

***

No. 2
Hf2MnCrS: relaxed, PBE.

Output
- Uncorrected formation energy: 0.58 eV/atom
- Space-group type: No. 123
- Size of the total moment: 2.940 μB per formula unit
- Crystal system: tetragonal

a = 4.916 Å, b = 4.139 Å, c = 4.916 Å
α = 90.00°, β = 90.00°, γ = 90.00°
Fractional coordinates of all 5 atoms:
Cr 0.000 0.000 0.000
S 0.000 0.500 0.000
Mn 0.500 0.500 0.500
Hf 0.000 0.000 0.500
Hf 0.500 0.000 0.000

***

No. 3
HfMn2CrSi: relaxed, PBE.

Output
- Uncorrected formation energy: 0.92 eV/atom
- Space-group type: No. 123
- Size of the total moment: 5.125 μB per formula unit
- Crystal system: tetragonal

a = 4.241 Å, b = 4.869 Å, c = 4.241 Å
α = 90.00°, β = 90.00°, γ = 90.00°
Fractional coordinates of all 5 atoms:
Cr 0.500 0.500 0.500
Si 0.000 0.000 0.000
Mn 0.000 0.000 0.500
Mn 0.500 0.000 0.000
Hf 0.000 0.500 0.000

***

No. 4
HfTiMnCr: relaxed, PBE.

Output
- Space-group type: No. 216
- Size of the total moment: 2.436 μB per formula unit
- Crystal system: cubic
- E_form: -0.1 eV/f.u.

a = 4.413 Å, b = 4.413 Å, c = 4.413 Å
α = 60.00°, β = 60.00°, γ = 60.00°
Fractional coordinates of all 4 atoms:
Cr 0.000 0.000 0.000
Mn 0.500 0.500 0.500
Hf 0.750 0.750 0.750
Ti 0.250 0.250 0.250

***

No. 5
HfMnVCr: relaxed, PBE.

Output
- Space-group type: No. 216
- Size of the total moment: 1.415 μB per formula unit
- Crystal system: cubic
- E_form: 0.0 eV/f.u.

a = 4.322 Å, b = 4.322 Å, c = 4.322 Å
α = 60.00°, β = 60.00°, γ = 60.00°
Fractional coordinates of all 4 atoms:
Cr 0.250 0.250 0.250
Mn 0.750 0.750 0.750
Hf 0.000 0.000 0.000
V 0.500 0.500 0.500

***

No. 6
HfMnCrW2: relaxed, PBE.

Output
- Space-group type: No. 123
- Size of the total moment: 0.131 μB per formula unit
- Crystal system: tetragonal
- E_form: 7.7 eV/f.u.

a = 4.448 Å, b = 4.670 Å, c = 4.448 Å
α = 90.00°, β = 90.00°, γ = 90.00°
Fractional coordinates of all 5 atoms:
Cr 0.000 0.000 0.000
Mn 0.500 0.500 0.500
Hf 0.000 0.500 0.000
W 0.000 0.000 0.500
W 0.500 0.000 0.000